This record from Alexandria via LeMat-Bulk describes an optimized crystal structure of CrCd3. The functional is PBE.

Structure (CIF):
```
data_CrCd3
_symmetry_space_group_name_H-M 'P 1'
_symmetry_Int_Tables_number 1
_cell_length_a 5.241
_cell_length_b 5.241
_cell_length_c 5.195
_cell_angle_alpha 101.81
_cell_angle_beta 101.81
_cell_angle_gamma 35.89
loop_
_symmetry_equiv_pos_as_xyz
'x,y,z'
loop_
_atom_site_label
_atom_site_type_symbol
_atom_site_fract_x
_atom_site_fract_y
_atom_site_fract_z
_atom_site_occupancy
Cr1 Cr 0.000 0.000 0.000 1
Cd1 Cd 0.256 0.256 0.761 1
Cd2 Cd 0.500 0.500 0.500 1
Cd3 Cd 0.744 0.744 0.239 1
```

## Properties
- symmetry = C2/m (12)
- total moment (μB per atom) = 1.010
- formation enthalpy at 0 K (meV/atom) = 263
- V (Å³ per cell) = 82